Here is an optimized crystal structure of Nd2NbZn2Rh5 from the Alexandria database. Energies are from PBE. Values from VASP.

Summary:
- Energy of formation from the pure elements: -5.39 eV per formula unit
- Volume: 354.82 Å³/cell
- D(E_F): 0.555 states/eV per atom
- Spin magnetization: 0.000 μB per atom

```
&SYSTEM
  ibrav = 0, nat = 20, ntyp = 4
/
ATOMIC_SPECIES
Nd 144.24 Nd.upf
Nb 92.91 Nb.upf
Zn 65.41 Zn.upf
Rh 102.91 Rh.upf
ATOMIC_POSITIONS crystal
Nd 0.172 0.328 0.000
Nd 0.328 0.828 0.000
Nd 0.672 0.172 0.000
Nd 0.828 0.672 0.000
Nb 0.000 0.000 0.000
Nb 0.500 0.500 0.000
Zn 0.125 0.625 0.000
Zn 0.375 0.125 0.000
Zn 0.625 0.875 0.000
Zn 0.875 0.375 0.000
Rh 0.000 0.500 0.500
Rh 0.064 0.801 0.500
Rh 0.199 0.064 0.500
Rh 0.301 0.564 0.500
Rh 0.436 0.301 0.500
Rh 0.500 0.000 0.500
Rh 0.564 0.699 0.500
Rh 0.699 0.436 0.500
Rh 0.801 0.936 0.500
Rh 0.936 0.199 0.500
CELL_PARAMETERS angstrom
9.985 0.000 0.000
0.000 9.985 0.000
0.000 0.000 3.559
```